PmSmNi | PBE | optimized geometry

Output
ΔE to the lowest computed polymorph = 0.0 meV per atom
DFT formation energy = -0.07 eV/atom
Energy = -60.93 eV for the cell shown
Total magnetization = 0.00 μB/atom

Unit cell a=6.827 b=6.827 c=6.827 alpha=90.00 beta=90.00 gamma=90.00
Space group F-43m (No. 216)
Asymmetric unit:
1 Pm 0.000 0.000 0.000 x4
2 Sm 0.000 0.000 0.500 x4
3 Ni 0.250 0.250 0.250 x4